[1]
## SmTlNi (PBE-GGA)

Data for SmTlNi after structural relaxation.

The structure belongs to space group Cmcm (No. 63); the cell edges are 3.7563, 17.2075 and 4.2560 Å and the angles 90.00°, 90.00° and 90.00°. The distinct sites, in fractional coordinates, are Sm at (0.0000, 0.0878, 0.2500), Tl at (0.0000, 0.2969, 0.2500) and Ni at (0.0000, 0.4602, 0.2500).

The value obtained for the density of states at the Fermi level is 8.98 states/eV/cell. As for the formation energy: -0.341 eV/atom.

[2]
## Sm6Tl2Ni (PBE-GGA)

Data for Sm6Tl2Ni after structural relaxation.

The structure belongs to space group Immm (No. 71); the cell edges are 5.3100, 7.3028 and 14.8386 Å and the angles 90.00°, 90.00° and 90.00°. The distinct sites, in fractional coordinates, are Sm at (0.0000, 0.2212, 0.0000), Sm at (0.0000, 0.2574, 0.3486), Tl at (0.0000, 0.5000, 0.1686) and Ni at (0.0000, 0.5000, 0.5000).

The value obtained for the density of states at the Fermi level is 18.44 states/eV/cell. The value obtained for the offset from the most stable computed form is 208 meV/atom. As for the formation energy: -0.054 eV/atom.

[3]
## Sm12TlNi6 (PBE-GGA)

Data for Sm12TlNi6 after structural relaxation.

The structure belongs to space group Im-3 (No. 204); the cell edges are 9.9341, 9.9341 and 9.9341 Å and the angles 90.00°, 90.00° and 90.00°. The distinct sites, in fractional coordinates, are Sm at (0.0000, 0.3056, 0.1867), Tl at (0.0000, 0.0000, 0.0000) and Ni at (0.0000, 0.1218, 0.5000).

The value obtained for the density of states at the Fermi level is 31.92 states/eV/cell. As for the formation energy: -0.297 eV/atom.

[4]
## Sm5TlNi2 (PBE-GGA)

Data for Sm5TlNi2 after structural relaxation.

The structure belongs to space group I4/mcm (No. 140); the cell edges are 7.8767, 7.8767 and 13.5462 Å and the angles 90.00°, 90.00° and 90.00°. The distinct sites, in fractional coordinates, are Sm at (0.0000, 0.0000, 0.0000), Sm at (0.1588, 0.3412, 0.1356), Tl at (0.0000, 0.0000, 0.2500) and Ni at (0.1252, 0.3748, 0.5000).

The value obtained for the density of states at the Fermi level is 34.88 states/eV/cell. As for the formation energy: -0.280 eV/atom.

[5]
## Sm8Tl2Ni (PBE-GGA)

Data for Sm8Tl2Ni after structural relaxation.

The structure belongs to space group C2/m (No. 12); the cell edges are 18.9867, 5.1172 and 6.9080 Å and the angles 90.00°, 102.11° and 90.00°. The distinct sites, in fractional coordinates, are Sm at (0.0137, 0.0000, 0.2777), Sm at (0.0901, 0.5000, 0.9652), Sm at (0.1437, 0.5000, 0.4892), Sm at (0.2092, 0.0000, 0.8133), Tl at (0.1847, 0.0000, 0.2578) and Ni at (0.0000, 0.5000, 0.5000).

The value obtained for the density of states at the Fermi level is 23.93 states/eV/cell. The value obtained for the offset from the most stable computed form is 6 meV/atom. As for the formation energy: -0.164 eV/atom.

[6]
## Sm2TlNi (PBE-GGA)

Data for Sm2TlNi after structural relaxation.

The structure belongs to space group P4/mmm (No. 123); the cell edges are 3.5651, 3.5651 and 7.7842 Å and the angles 90.00°, 90.00° and 90.00°. The distinct sites, in fractional coordinates, are Sm at (0.0000, 0.0000, 0.2128), Tl at (0.5000, 0.5000, 0.5000) and Ni at (0.5000, 0.5000, 0.0000).

The value obtained for the density of states at the Fermi level is 3.26 states/eV/cell. The value obtained for the offset from the most stable computed form is 0 meV/atom. As for the formation energy: -0.315 eV/atom.